# 1
LiPm2Tl3 | PBE-GGA | relaxed

a = 9.997 Å, b = 9.413 Å, c = 6.214 Å
α = 76.51°, β = 66.30°, γ = 37.19°
Positions (direct):
Li: 0.168 0.168 0.832
Li: 0.832 0.832 0.168
Pm: 0.250 0.250 0.250
Pm: 0.255 0.745 0.745
Pm: 0.745 0.255 0.255
Pm: 0.750 0.750 0.750
Tl: 0.149 0.675 0.325
Tl: 0.325 0.325 0.675
Tl: 0.325 0.851 0.149
Tl: 0.675 0.149 0.851
Tl: 0.675 0.675 0.325
Tl: 0.851 0.325 0.675

The space group is Fmmm, No. 69. Its energy relative to the elements is -316 meV per atom. The calculation puts the total magnetization at 0.00 μB/atom. The calculation puts the energy above the most stable polymorph in this dataset at 26.7 meV per atom.



# 2
LiPm3Tl4 | PBE-GGA | relaxed

a = 8.703 Å, b = 8.703 Å, c = 8.703 Å
α = 144.62°, β = 144.62°, γ = 50.91°
Positions (direct):
Li: 0.000 0.000 0.000
Pm: 0.243 0.243 0.000
Pm: 0.500 0.500 0.000
Pm: 0.757 0.757 0.000
Tl: 0.118 0.618 0.500
Tl: 0.382 0.882 0.500
Tl: 0.618 0.118 0.500
Tl: 0.882 0.382 0.500

The space group is I4/mmm, No. 139. Its energy relative to the elements is -353 meV per atom. The calculation puts the total magnetization at 0.00 μB/atom. The calculation puts the energy above the most stable polymorph in this dataset at 0.0 meV per atom.



# 3
LiPm2Tl4 | PBE-GGA | relaxed

a = 8.858 Å, b = 8.858 Å, c = 8.858 Å
α = 147.89°, β = 147.89°, γ = 46.05°
Positions (direct):
Li: 0.000 0.000 0.000
Pm: 0.359 0.359 0.000
Pm: 0.641 0.641 0.000
Tl: 0.000 0.500 0.500
Tl: 0.167 0.167 0.000
Tl: 0.500 0.000 0.500
Tl: 0.833 0.833 0.000

The space group is I4/mmm, No. 139. Its energy relative to the elements is -128 meV per atom. The calculation puts the total magnetization at 0.00 μB/atom. The calculation puts the energy above the most stable polymorph in this dataset at 80.2 meV per atom.



# 4
Li2Pm4Tl | PBE-GGA | relaxed

a = 8.445 Å, b = 8.445 Å, c = 8.445 Å
α = 37.42°, β = 37.42°, γ = 37.42°
Positions (direct):
Li: 0.216 0.216 0.216
Li: 0.784 0.784 0.784
Pm: 0.078 0.078 0.078
Pm: 0.358 0.358 0.358
Pm: 0.642 0.642 0.642
Pm: 0.922 0.922 0.922
Tl: 0.500 0.500 0.500

The space group is R-3m, No. 166. Its energy relative to the elements is 20 meV per atom. The calculation puts the total magnetization at 0.00 μB/atom.



The calculation returns the following density of states at the Fermi level values, one per record and in order: 3.87; 5.48; 3.95; 9.43 states/eV/f.u..